[1]
Material: TlReAg2
Method: DFT, PBE-GGA
State: optimized geometry

Lattice parameters (Å, degrees): 2.874 5.095 5.079 90.00 91.91 90.00
Sites, in units of the cell vectors:
Tl (0.000, 0.000, 0.000)
Re (0.500, 0.000, 0.500)
Ag (0.239, 0.500, 0.737)
Ag (0.761, 0.500, 0.263)

Values from the calculation:
Volume in A^3/atom: 18.6
E above lowest polymorph in eV/atom: 0.157

[2]
Material: TlReAg2
Method: DFT, PBE-GGA
State: optimized geometry

Lattice parameters (Å, degrees): 10.713 10.713 10.713 158.71 158.71 30.29
Sites, in units of the cell vectors:
Tl (0.000, 0.000, 0.000)
Tl (0.750, 0.250, 0.500)
Re (0.250, 0.750, 0.500)
Re (0.500, 0.500, 0.000)
Ag (0.136, 0.625, 0.011)
Ag (0.375, 0.386, 0.511)
Ag (0.614, 0.125, 0.989)
Ag (0.875, 0.864, 0.489)

Values from the calculation:
Volume in A^3/atom: 20.3
E above lowest polymorph in eV/atom: 0.427

[3]
Material: TlReAg2
Method: DFT, PBE-GGA
State: optimized geometry

Lattice parameters (Å, degrees): 2.831 2.831 10.003 90.00 90.00 107.91
Sites, in units of the cell vectors:
Tl (0.000, 0.000, 0.000)
Re (0.000, 0.000, 0.500)
Ag (0.500, 0.500, 0.272)
Ag (0.500, 0.500, 0.728)

Values from the calculation:
Volume in A^3/atom: 19.1
E above lowest polymorph in eV/atom: 0.047

[4]
Material: TlReAg2
Method: DFT, PBE-GGA
State: optimized geometry

Lattice parameters (Å, degrees): 10.065 10.065 10.065 16.83 16.83 16.83
Sites, in units of the cell vectors:
Tl (0.000, 0.000, 0.000)
Re (0.752, 0.752, 0.752)
Ag (0.242, 0.242, 0.242)
Ag (0.495, 0.495, 0.495)

Values from the calculation:
Volume in A^3/atom: 18.6
E above lowest polymorph in eV/atom: 0.000

[5]
Material: TlRe4Ag
Method: DFT, PBE-GGA
State: optimized geometry

Lattice parameters (Å, degrees): 5.302 5.302 5.302 60.00 60.00 60.00
Sites, in units of the cell vectors:
Tl (0.000, 0.000, 0.000)
Re (0.376, 0.376, 0.376)
Re (0.376, 0.376, 0.873)
Re (0.376, 0.873, 0.376)
Re (0.873, 0.376, 0.376)
Ag (0.750, 0.750, 0.750)

Values from the calculation:
Volume in A^3/atom: 17.6

[6]
Material: ZrTlReAg2
Method: DFT, PBE-GGA
State: optimized geometry

Lattice parameters (Å, degrees): 5.016 5.016 5.498 90.00 90.00 90.00
Sites, in units of the cell vectors:
Zr (0.000, 0.000, 0.000)
Tl (0.000, 0.000, 0.500)
Re (0.500, 0.500, 0.000)
Ag (0.000, 0.500, 0.500)
Ag (0.500, 0.000, 0.500)

Values from the calculation:
Volume in A^3/atom: 27.7

[7]
Material: Tm2ReAg
Method: DFT, PBE-GGA
State: optimized geometry

Lattice parameters (Å, degrees): 3.420 3.420 7.334 90.00 90.00 90.00
Sites, in units of the cell vectors:
Tm (0.000, 0.000, 0.223)
Tm (0.000, 0.000, 0.777)
Re (0.500, 0.500, 0.000)
Ag (0.500, 0.500, 0.500)

Values from the calculation:
Volume in A^3/atom: 21.5

[8]
Material: TmZrReAg
Method: DFT, PBE-GGA
State: optimized geometry

Lattice parameters (Å, degrees): 4.823 4.823 4.823 60.00 60.00 60.00
Sites, in units of the cell vectors:
Tm (0.000, 0.000, 0.000)
Zr (0.500, 0.500, 0.500)
Re (0.250, 0.250, 0.250)
Ag (0.750, 0.750, 0.750)

Values from the calculation:
Volume in A^3/atom: 19.8

[9]
Material: VReAg2
Method: DFT, PBE-GGA
State: optimized geometry

Lattice parameters (Å, degrees): 4.531 4.531 4.531 60.00 60.00 60.00
Sites, in units of the cell vectors:
V (0.000, 0.000, 0.000)
Re (0.500, 0.500, 0.500)
Ag (0.250, 0.250, 0.250)
Ag (0.750, 0.750, 0.750)

Values from the calculation:
Volume in A^3/atom: 16.4
E above lowest polymorph in eV/atom: 0.076

[10]
Material: V2ReAg
Method: DFT, PBE-GGA
State: optimized geometry

Lattice parameters (Å, degrees): 3.075 3.075 6.355 90.00 90.00 90.00
Sites, in units of the cell vectors:
V (0.000, 0.000, 0.223)
V (0.000, 0.000, 0.777)
Re (0.500, 0.500, 0.000)
Ag (0.500, 0.500, 0.500)

Values from the calculation:
Volume in A^3/atom: 15.0
E above lowest polymorph in eV/atom: 0.000

[11]
Material: VRe3Ag
Method: DFT, PBE-GGA
State: optimized geometry

Lattice parameters (Å, degrees): 4.506 4.506 4.506 90.00 90.00 90.00
Sites, in units of the cell vectors:
V (0.000, 0.000, 0.000)
Re (0.000, 0.000, 0.500)
Re (0.000, 0.500, 0.000)
Re (0.500, 0.000, 0.000)
Ag (0.500, 0.500, 0.500)

Values from the calculation:
Volume in A^3/atom: 18.3
E above lowest polymorph in eV/atom: 0.000

[12]
Material: V2ReAg
Method: DFT, PBE-GGA
State: optimized geometry

Lattice parameters (Å, degrees): 4.375 4.375 4.375 60.00 60.00 60.00
Sites, in units of the cell vectors:
V (0.250, 0.250, 0.250)
V (0.750, 0.750, 0.750)
Re (0.000, 0.000, 0.000)
Ag (0.500, 0.500, 0.500)

Values from the calculation:
Volume in A^3/atom: 14.8
E above lowest polymorph in eV/atom: 0.125

[13]
Material: V2ReAg2
Method: DFT, PBE-GGA
State: optimized geometry

Lattice parameters (Å, degrees): 7.574 7.574 2.721 90.00 90.00 90.00
Sites, in units of the cell vectors:
V (0.177, 0.323, 0.000)
V (0.323, 0.823, 0.000)
V (0.677, 0.177, 0.000)
V (0.823, 0.677, 0.000)
Re (0.000, 0.000, 0.500)
Re (0.500, 0.500, 0.500)
Ag (0.123, 0.623, 0.500)
Ag (0.377, 0.123, 0.500)
Ag (0.623, 0.877, 0.500)
Ag (0.877, 0.377, 0.500)

Values from the calculation:
Volume in A^3/atom: 15.6
E above lowest polymorph in eV/atom: 0.000

[14]
Material: VReAg3
Method: DFT, PBE-GGA
State: optimized geometry

Lattice parameters (Å, degrees): 5.024 5.024 5.024 90.00 90.00 90.00
Sites, in units of the cell vectors:
V (0.000, 0.000, 0.000)
Re (0.500, 0.500, 0.500)
Ag (0.000, 0.500, 0.500)
Ag (0.500, 0.000, 0.500)
Ag (0.500, 0.500, 0.000)

Values from the calculation:
Volume in A^3/atom: 25.4
E above lowest polymorph in eV/atom: 0.000

[15]
Material: VRe2Ag
Method: DFT, PBE-GGA
State: optimized geometry

Lattice parameters (Å, degrees): 9.802 9.802 9.802 157.59 157.59 31.90
Sites, in units of the cell vectors:
V (0.000, 0.000, 0.000)
V (0.750, 0.250, 0.500)
Re (0.077, 0.625, 0.952)
Re (0.375, 0.327, 0.452)
Re (0.673, 0.125, 0.048)
Re (0.875, 0.923, 0.548)
Ag (0.250, 0.750, 0.500)
Ag (0.500, 0.500, 0.000)

Values from the calculation:
Volume in A^3/atom: 17.1
E above lowest polymorph in eV/atom: 0.321

Number 1: calculated density 13.55 g cm⁻³, raw total energy -4.359 eV per atom, M_tot 0.0 μB per formula unit. Number 2: calculated density 12.43 g cm⁻³, raw total energy -4.089 eV per atom, M_tot 1.5 μB per formula unit. Number 3: calculated density 13.20 g cm⁻³, raw total energy -4.469 eV per atom, M_tot 0.0 μB per formula unit. Number 4: calculated density 13.51 g cm⁻³, raw total energy -4.516 eV per atom, M_tot 0.0 μB per formula unit. Number 5: calculated density 16.66 g cm⁻³, raw total energy -8.305 eV per atom, M_tot 0.0 μB per formula unit. Number 6: calculated density 8.37 g cm⁻³, raw total energy -3.995 eV per atom, M_tot 2.7 μB per formula unit. Number 7: calculated density 12.23 g cm⁻³, raw total energy -6.188 eV per atom, M_tot 0.0 μB per formula unit. Number 8: calculated density 11.60 g cm⁻³, raw total energy -7.170 eV per atom, M_tot 0.0 μB per formula unit. Number 9: calculated density 11.43 g cm⁻³, raw total energy -5.908 eV per atom, M_tot 0.7 μB per formula unit. Number 10: calculated density 10.94 g cm⁻³, raw total energy -8.257 eV per atom, M_tot 0.0 μB per formula unit. Number 11: calculated density 13.02 g cm⁻³, raw total energy -8.133 eV per atom, M_tot 0.0 μB per formula unit. Number 12: calculated density 11.10 g cm⁻³, raw total energy -8.132 eV per atom, M_tot 0.0 μB per formula unit. Number 13: calculated density 10.72 g cm⁻³, raw total energy -6.502 eV per atom, M_tot 0.2 μB per formula unit. Number 14: calculated density 7.34 g cm⁻³, raw total energy -4.107 eV per atom, M_tot 1.7 μB per formula unit. Number 15: calculated density 12.90 g cm⁻³, raw total energy -8.293 eV per atom, M_tot 1.7 μB per formula unit.